DFT (PBE) results for a relaxed structure of Li3IBr2.

ΔE_f (raw) = -1429.9 meV/atom
Crystal system = orthorhombic
VASP energy = -38.43 eV/cell

Cell lengths 4.311, 12.932, 6.060 Å; angles 90.00, 90.00, 90.00 degrees
Space group Imm2 (No. 44)
One atom of each set of equivalent atoms:
Li: 0.000 0.000 0.000 (multiplicity 2)
Li: 0.000 0.323 0.048 (multiplicity 4)
I: 0.000 0.500 0.784 (multiplicity 2)
Br: 0.000 0.169 0.781 (multiplicity 4)